(1)
# Li12Cd2Pd5 (PBE, optimized geometry)
# Space group: C2/m, No. 12
# Excess energy over the best structure of this formula in the dataset, meV/atom: 0.0
data_Li12Cd2Pd5
_space_group_name_H-M_alt 'P 1'
_space_group_IT_number 1
_space_group_name_Hall 'P 1'
_cell_length_a 7.867
_cell_length_b 7.088
_cell_length_c 8.799
_cell_angle_alpha 121.81
_cell_angle_beta 90.00
_cell_angle_gamma 123.71
loop_
_atom_site_label
_atom_site_fract_x
_atom_site_fract_y
_atom_site_fract_z
Li1 0.877 0.755 0.002
Li2 0.001 0.395 0.803
Li3 0.393 0.395 0.803
Li4 0.105 0.802 0.630
Li5 0.697 0.802 0.630
Li6 0.357 0.713 0.425
Li7 0.643 0.287 0.575
Li8 0.895 0.198 0.370
Li9 0.303 0.198 0.370
Li10 0.999 0.605 0.197
Li11 0.607 0.605 0.197
Li12 0.123 0.245 0.998
Cd1 0.698 0.000 0.000
Cd2 0.302 0.000 0.000
Pd1 0.293 0.585 0.660
Pd2 0.408 0.815 0.172
Pd3 0.000 0.000 0.500
Pd4 0.592 0.185 0.828
Pd5 0.707 0.415 0.340

(2)
# LiCdPd3 (PBE, optimized geometry)
# Space group: P-1, No. 2
# Excess energy over the best structure of this formula in the dataset, meV/atom: 0.0
data_LiCdPd3
_space_group_name_H-M_alt 'P 1'
_space_group_IT_number 1
_space_group_name_Hall 'P 1'
_cell_length_a 4.826
_cell_length_b 4.830
_cell_length_c 7.527
_cell_angle_alpha 84.67
_cell_angle_beta 71.11
_cell_angle_gamma 72.60
loop_
_atom_site_label
_atom_site_fract_x
_atom_site_fract_y
_atom_site_fract_z
Li1 0.349 0.344 0.020
Li2 0.062 0.845 0.595
Cd1 0.856 0.844 0.007
Cd2 0.555 0.345 0.608
Pd1 0.155 0.345 0.410
Pd2 0.955 0.344 0.807
Pd3 0.653 0.845 0.411
Pd4 0.758 0.344 0.203
Pd5 0.256 0.844 0.205
Pd6 0.456 0.845 0.808

(3)
# LiCd3Pd4 (PBE, optimized geometry)
# Space group: C2/m, No. 12
# Excess energy over the best structure of this formula in the dataset, meV/atom: 0.0
data_LiCd3Pd4
_space_group_name_H-M_alt 'P 1'
_space_group_IT_number 1
_space_group_name_Hall 'P 1'
_cell_length_a 4.286
_cell_length_b 4.286
_cell_length_c 7.909
_cell_angle_alpha 105.87
_cell_angle_beta 105.87
_cell_angle_gamma 89.90
loop_
_atom_site_label
_atom_site_fract_x
_atom_site_fract_y
_atom_site_fract_z
Cd1 0.000 0.500 0.000
Cd2 0.749 0.249 0.498
Cd3 0.251 0.751 0.502
Pd1 0.378 0.379 0.757
Pd2 0.622 0.621 0.243
Pd3 0.121 0.122 0.243
Pd4 0.879 0.878 0.757
Li1 0.500 0.000 0.000

(4)
# Li12Cd5Pd2 (PBE, optimized geometry)
# Space group: C2/m, No. 12
# Excess energy over the best structure of this formula in the dataset, meV/atom: 17.9
data_Li12Cd5Pd2
_space_group_name_H-M_alt 'P 1'
_space_group_IT_number 1
_space_group_name_Hall 'P 1'
_cell_length_a 7.712
_cell_length_b 7.437
_cell_length_c 6.890
_cell_angle_alpha 90.56
_cell_angle_beta 90.00
_cell_angle_gamma 121.23
loop_
_atom_site_label
_atom_site_fract_x
_atom_site_fract_y
_atom_site_fract_z
Li1 0.918 0.837 0.109
Li2 0.043 0.706 0.764
Li3 0.664 0.706 0.764
Li4 0.169 0.753 0.316
Li5 0.584 0.753 0.316
Li6 0.451 0.902 0.691
Li7 0.549 0.098 0.309
Li8 0.831 0.247 0.684
Li9 0.416 0.247 0.684
Li10 0.957 0.294 0.236
Li11 0.336 0.294 0.236
Li12 0.082 0.163 0.891
Cd1 0.241 0.482 0.556
Cd2 0.302 0.605 0.996
Cd3 0.000 0.000 0.500
Cd4 0.698 0.395 0.004
Cd5 0.759 0.518 0.444
Pd1 0.685 0.000 0.000
Pd2 0.315 0.000 0.000

(5)
# Li3Cd2Pd3 (PBE, optimized geometry)
# Space group: C2/m, No. 12
# Excess energy over the best structure of this formula in the dataset, meV/atom: 16.4
data_Li3Cd2Pd3
_space_group_name_H-M_alt 'P 1'
_space_group_IT_number 1
_space_group_name_Hall 'P 1'
_cell_length_a 4.395
_cell_length_b 4.629
_cell_length_c 7.066
_cell_angle_alpha 109.00
_cell_angle_beta 108.12
_cell_angle_gamma 90.00
loop_
_atom_site_label
_atom_site_fract_x
_atom_site_fract_y
_atom_site_fract_z
Li1 0.384 0.883 0.768
Li2 0.500 0.500 0.000
Li3 0.616 0.117 0.232
Cd1 0.756 0.757 0.513
Cd2 0.244 0.243 0.487
Pd1 0.883 0.384 0.767
Pd2 0.117 0.616 0.233
Pd3 0.000 0.000 0.000

(6)
# LiCdPd2 (PBE, optimized geometry)
# Space group: Pmmn, No. 59
data_LiCdPd2
_space_group_name_H-M_alt 'P 1'
_space_group_IT_number 1
_space_group_name_Hall 'P 1'
_cell_length_a 4.588
_cell_length_b 4.706
_cell_length_c 5.922
_cell_angle_alpha 90.00
_cell_angle_beta 90.00
_cell_angle_gamma 90.00
loop_
_atom_site_label
_atom_site_fract_x
_atom_site_fract_y
_atom_site_fract_z
Li1 0.500 0.709 0.500
Li2 0.000 0.291 0.000
Cd1 0.000 0.305 0.500
Cd2 0.500 0.695 0.000
Pd1 0.500 0.197 0.250
Pd2 0.500 0.197 0.750
Pd3 0.000 0.803 0.750
Pd4 0.000 0.803 0.250

Listing density for the structures above in their given order: 4.42, 9.20, 9.54, 4.22, 7.31, 8.63 Mg/m³.
Listing DFT formation energy for the structures above in their given order: -551, -172, -326, -409, -310, -167 kJ/mol of formula units.